Entry 1:
DFT (PBE) results for a relaxed YZr3H crystal.

Calculated values
Fermi-level density of states	1.52	states/eV/atom
distance to the lowest polymorph of the same formula	0	meV per atom

Cell: 4.6433 4.6433 4.6433 Å, 90.00 90.00 90.00°
Sites, in units of the cell vectors:
H 0.0000 0.0000 0.0000
Zr 0.5000 0.0000 0.0000
Zr 0.0000 0.0000 0.5000
Zr 0.0000 0.5000 0.0000
Y 0.5000 0.5000 0.5000

Entry 2:
DFT (PBE) results for a relaxed YZrH crystal.

Calculated values
Fermi-level density of states	1.03	states/eV/atom
distance to the lowest polymorph of the same formula	173	meV per atom

Cell: 5.4693 3.1803 12.7531 Å, 90.00 90.00 90.00°
Sites, in units of the cell vectors:
Y 0.7490 0.2500 0.4436
Y 0.7510 0.7500 0.9436
Y 0.2510 0.7500 0.5564
Y 0.2490 0.2500 0.0564
Zr 0.2299 0.7500 0.8085
Zr 0.7701 0.2500 0.1915
Zr 0.7299 0.7500 0.6915
Zr 0.2701 0.2500 0.3085
H 0.9266 0.2500 0.8049
H 0.0734 0.7500 0.1951
H 0.4266 0.2500 0.6951
H 0.5734 0.7500 0.3049

Entry 3:
DFT (PBE) results for a relaxed YZrH2 crystal.

Calculated values
Fermi-level density of states	0.88	states/eV/atom
distance to the lowest polymorph of the same formula	656	meV per atom

Cell: 4.2813 4.2813 4.2813 Å, 60.00 60.00 60.00°
Sites, in units of the cell vectors:
H 0.7500 0.7500 0.7500
H 0.2500 0.2500 0.2500
Y 0.0000 0.0000 0.0000
Zr 0.5000 0.5000 0.5000

Entry 4:
DFT (PBE) results for a relaxed YZrH crystal.

Calculated values
Fermi-level density of states	0.53	states/eV/atom
distance to the lowest polymorph of the same formula	19	meV per atom

Cell: 5.4185 3.4218 3.4218 Å, 120.00 90.00 90.00°
Sites, in units of the cell vectors:
Zr 0.2383 0.3333 0.6667
Y 0.7354 0.6667 0.3333
H 0.0264 0.0000 0.0000

Entry 5:
DFT (PBE) results for a relaxed Y3Zr5H12 crystal.

Calculated values
Fermi-level density of states	0.39	states/eV/atom
final energy	-447.106	eV/cell

Cell: 10.7256 10.7256 10.7256 Å, 109.47 109.47 109.47°
Sites, in units of the cell vectors:
H 0.6614 0.2178 0.5752
H 0.5862 0.9436 0.6614
H 0.8574 0.2822 0.4436
H 0.4248 0.2822 0.3386
H 0.5752 0.7178 0.6614
H 0.0564 0.4138 0.8386
H 0.6614 0.4436 0.5862
H 0.0752 0.1614 0.2178
H 0.4248 0.1426 0.5862
H 0.9248 0.8386 0.7822
H 0.7178 0.5752 0.1614
H 0.9248 0.0862 0.6426
H 0.8386 0.9138 0.0564
H 0.7822 0.3386 0.9248
H 0.9138 0.8386 0.5564
H 0.3574 0.4138 0.0752
H 0.6426 0.5862 0.9248
H 0.1426 0.4248 0.0862
H 0.4138 0.0564 0.3386
H 0.0862 0.9248 0.1426
H 0.8574 0.5752 0.9138
H 0.0862 0.1614 0.4436
H 0.7178 0.1426 0.0564
H 0.4436 0.7822 0.8574
H 0.1426 0.7178 0.5564
H 0.4436 0.6614 0.0862
H 0.2822 0.4248 0.8386
H 0.3386 0.7822 0.4248
H 0.1614 0.0752 0.7178
H 0.0564 0.6426 0.7178
H 0.2822 0.8574 0.9436
H 0.5862 0.6426 0.4248
H 0.3574 0.9436 0.7822
H 0.5564 0.3386 0.9138
H 0.0752 0.9138 0.3574
H 0.7822 0.4436 0.3574
H 0.5752 0.8574 0.4138
H 0.4138 0.3574 0.5752
H 0.9436 0.5862 0.1614
H 0.2178 0.5564 0.6426
H 0.8386 0.9248 0.2822
H 0.9138 0.0752 0.8574
H 0.6426 0.0564 0.2178
H 0.1614 0.0862 0.9436
H 0.2178 0.6614 0.0752
H 0.9436 0.3574 0.2822
H 0.3386 0.5564 0.4138
H 0.5564 0.2178 0.1426
Zr 0.3750 0.2500 0.1250
Zr 0.8750 0.6250 0.7500
Zr 0.6250 0.8750 0.2500
Zr 0.0000 0.5000 0.0000
Zr 0.5000 0.0000 0.5000
Zr 0.5000 0.5000 0.5000
Zr 0.0000 0.5000 0.5000
Zr 0.1250 0.7500 0.3750
Zr 0.2500 0.3750 0.6250
Zr 0.7500 0.6250 0.3750
Zr 0.5000 0.5000 0.0000
Zr 0.3750 0.1250 0.7500
Zr 0.8750 0.2500 0.6250
Zr 0.6250 0.7500 0.8750
Zr 0.5000 0.0000 0.0000
Zr 0.1250 0.3750 0.2500
Zr 0.0000 0.0000 0.0000
Zr 0.7500 0.1250 0.8750
Zr 0.0000 0.0000 0.5000
Zr 0.2500 0.8750 0.1250
Y 0.1250 0.2500 0.8750
Y 0.7500 0.3750 0.1250
Y 0.8750 0.7500 0.1250
Y 0.3750 0.7500 0.6250
Y 0.2500 0.6250 0.8750
Y 0.1250 0.8750 0.7500
Y 0.2500 0.1250 0.3750
Y 0.8750 0.1250 0.2500
Y 0.6250 0.3750 0.7500
Y 0.7500 0.8750 0.6250
Y 0.6250 0.2500 0.3750
Y 0.3750 0.6250 0.2500

Entry 6:
DFT (PBE) results for a relaxed YZr2H8 crystal.

Calculated values
Fermi-level density of states	0.20	states/eV/atom
final energy	-55.087	eV/cell

Cell: 3.2454 5.6593 5.9010 Å, 118.65 105.96 90.00°
Sites, in units of the cell vectors:
H 0.0000 0.7188 0.0000
H 0.8227 0.8227 0.6455
H 0.0000 0.2812 0.0000
H 0.1773 0.1773 0.3545
H 0.6648 0.8998 0.3295
H 0.3352 0.5702 0.6705
H 0.6648 0.4298 0.3295
H 0.3352 0.1002 0.6705
Zr 0.8273 0.3273 0.6547
Zr 0.1727 0.6727 0.3453
Y 0.5000 0.0000 0.0000

Entry 7:
DFT (PBE) results for a relaxed YZr2H crystal.

Calculated values
Fermi-level density of states	1.70	states/eV/atom
distance to the lowest polymorph of the same formula	1014	meV per atom

Cell: 4.9157 4.9157 4.9157 Å, 60.00 60.00 60.00°
Sites, in units of the cell vectors:
H 0.0000 0.0000 0.0000
Zr 0.7500 0.7500 0.7500
Zr 0.2500 0.2500 0.2500
Y 0.5000 0.5000 0.5000

Entry 8:
DFT (PBE) results for a relaxed YZr3H crystal.

Calculated values
Fermi-level density of states	2.59	states/eV/atom
distance to the lowest polymorph of the same formula	2088	meV per atom

Cell: 5.2668 5.2668 5.2668 Å, 90.00 90.00 90.00°
Sites, in units of the cell vectors:
Zr 0.0000 0.5000 0.0000
Zr 0.5000 0.0000 0.0000
Zr 0.0000 0.0000 0.5000
H 0.5000 0.5000 0.5000
Y 0.0000 0.0000 0.0000

Entry 9:
DFT (PBE) results for a relaxed YZr2H crystal.

Calculated values
Fermi-level density of states	1.63	states/eV/atom
distance to the lowest polymorph of the same formula	0	meV per atom

Cell: 6.2714 6.2714 6.2605 Å, 59.94 59.94 90.00°
Sites, in units of the cell vectors:
H 0.5000 0.5000 0.0000
H 0.2500 0.7500 0.5000
Zr 0.3219 0.1250 0.2500
Zr 0.3750 0.6781 0.7500
Zr 0.4281 0.6250 0.2500
Zr 0.8750 0.5719 0.7500
Y 0.0000 0.0000 0.0000
Y 0.7500 0.2500 0.5000

Entry 10:
DFT (PBE) results for a relaxed Y2ZrH8 crystal.

Calculated values
Fermi-level density of states	0.20	states/eV/atom
final energy	-53.914	eV/cell

Cell: 3.6730 4.8759 6.1580 Å, 113.32 107.35 90.00°
Sites, in units of the cell vectors:
H 0.0000 0.2403 0.0000
H 0.6526 0.8978 0.3052
H 0.1689 0.1689 0.3377
H 0.0000 0.7597 0.0000
H 0.8311 0.8311 0.6623
H 0.3474 0.5926 0.6948
H 0.6526 0.4074 0.3052
H 0.3474 0.1022 0.6948
Y 0.1671 0.6671 0.3342
Y 0.8329 0.3329 0.6658
Zr 0.5000 0.0000 0.0000

Entry 11:
DFT (PBE) results for a relaxed YZrH2 crystal.

Calculated values
Fermi-level density of states	0.87	states/eV/atom
distance to the lowest polymorph of the same formula	19	meV per atom

Cell: 3.3681 3.3681 5.8628 Å, 73.31 73.31 60.00°
Sites, in units of the cell vectors:
H 0.7327 0.7327 0.8020
H 0.2673 0.2673 0.1980
Y 0.5000 0.5000 0.5000
Zr 0.0000 0.0000 0.0000

Entry 12:
DFT (PBE) results for a relaxed YZrH crystal.

Calculated values
Fermi-level density of states	0.54	states/eV/atom
distance to the lowest polymorph of the same formula	0	meV per atom

Cell: 4.4025 9.5450 5.3363 Å, 90.00 90.00 90.00°
Sites, in units of the cell vectors:
Y 0.5000 0.0000 0.5000
Y 0.0000 0.5000 0.0000
Y 0.0000 0.0000 0.0000
Y 0.5000 0.5000 0.5000
Zr 0.0001 0.7500 0.5408
Zr 0.5001 0.7500 0.9592
Zr 0.9999 0.2500 0.4592
Zr 0.4999 0.2500 0.0408
H 0.4999 0.2500 0.4299
H 0.0001 0.7500 0.9299
H 0.9999 0.2500 0.0701
H 0.5001 0.7500 0.5701

Entry 13:
DFT (PBE) results for a relaxed YbH3 crystal.

Calculated values
Fermi-level density of states	0.22	states/eV/atom
final energy	-13.085	eV/cell

Cell: 3.6015 3.6015 3.6015 Å, 60.00 60.00 60.00°
Sites, in units of the cell vectors:
Yb 0.0000 0.0000 0.0000
H 0.7500 0.7500 0.7500
H 0.2500 0.2500 0.2500
H 0.5000 0.5000 0.5000

Entry 14:
DFT (PBE) results for a relaxed Yb3H crystal.

Calculated values
Fermi-level density of states	9.66	states/eV/atom
final energy	-13.108	eV/cell

Cell: 6.8650 6.8650 5.7198 Å, 90.00 90.00 120.00°
Sites, in units of the cell vectors:
H 0.3333 0.6667 0.7500
H 0.6667 0.3333 0.2500
Yb 0.1687 0.3374 0.2500
Yb 0.8313 0.1687 0.7500
Yb 0.8313 0.6626 0.7500
Yb 0.3374 0.1687 0.7500
Yb 0.6626 0.8313 0.2500
Yb 0.1687 0.8313 0.2500

Entry 15:
DFT (PBE) results for a relaxed ZnH6 crystal.

Calculated values
Fermi-level density of states	0.00	states/eV/atom
distance to the lowest polymorph of the same formula	0	meV per atom

Cell: 5.9505 4.6311 10.1362 Å, 90.00 90.00 90.00°
Sites, in units of the cell vectors:
H 0.5133 0.0745 0.1915
H 0.2622 0.1380 0.9370
H 0.6966 0.9876 0.4191
H 0.5429 0.4707 0.8550
H 0.3034 0.4876 0.5809
H 0.2150 0.0759 0.4289
H 0.4571 0.9707 0.1450
H 0.7850 0.0759 0.9289
H 0.5429 0.9707 0.6450
H 0.9455 0.1271 0.1886
H 0.4571 0.4707 0.3550
H 0.7378 0.6380 0.0630
H 0.9455 0.6271 0.3114
H 0.3034 0.9876 0.9191
H 0.0545 0.6271 0.8114
H 0.4867 0.0745 0.6915
H 0.5133 0.5745 0.3085
H 0.0545 0.1271 0.6886
H 0.6966 0.4876 0.0809
H 0.2150 0.5759 0.0711
H 0.7378 0.1380 0.4370
H 0.2622 0.6380 0.5630
H 0.7850 0.5759 0.5711
H 0.4867 0.5745 0.8085
Zn 0.9520 0.4612 0.6758
Zn 0.0480 0.9612 0.3242
Zn 0.9520 0.9612 0.8242
Zn 0.0480 0.4612 0.1758

Entry 16:
DFT (PBE) results for a relaxed ZnH6 crystal.

Calculated values
Fermi-level density of states	0.00	states/eV/atom
distance to the lowest polymorph of the same formula	4	meV per atom

Cell: 5.6822 4.9002 9.8715 Å, 90.00 90.00 90.00°
Sites, in units of the cell vectors:
Zn 0.5807 0.4064 0.9247
Zn 0.0807 0.9064 0.5753
Zn 0.9193 0.4064 0.4247
Zn 0.4193 0.9064 0.0753
H 0.5237 0.4146 0.5342
H 0.2615 0.8337 0.1982
H 0.0454 0.2474 0.5526
H 0.7189 0.8252 0.6745
H 0.2811 0.3252 0.3255
H 0.2303 0.4687 0.7966
H 0.4763 0.9146 0.4658
H 0.7811 0.8252 0.1745
H 0.7615 0.3337 0.3018
H 0.2385 0.8337 0.6982
H 0.7697 0.9687 0.2034
H 0.2189 0.3252 0.8255
H 0.0670 0.8981 0.8937
H 0.2697 0.4687 0.2966
H 0.7303 0.9687 0.7034
H 0.9546 0.7474 0.4474
H 0.9763 0.4146 0.0342
H 0.5454 0.7474 0.9474
H 0.9330 0.3981 0.1063
H 0.5670 0.3981 0.6063
H 0.4330 0.8981 0.3937
H 0.4546 0.2474 0.0526
H 0.0237 0.9146 0.9658
H 0.7385 0.3337 0.8018

Entry 17:
DFT (PBE) results for a relaxed ZnH3 crystal.

Calculated values
Fermi-level density of states	0.13	states/eV/atom
distance to the lowest polymorph of the same formula	40	meV per atom

Cell: 2.2903 4.5832 4.7125 Å, 119.10 104.06 90.00°
Sites, in units of the cell vectors:
Zn 0.0000 0.0420 0.0000
H 0.5000 0.3377 0.0000
H 0.3519 0.7454 0.7038
H 0.6481 0.0416 0.2962

Entry 18:
DFT (PBE) results for a relaxed Zn5H crystal.

Calculated values
Fermi-level density of states	0.21	states/eV/atom
final energy	-8.784	eV/cell

Cell: 2.7728 5.1796 6.2942 Å, 114.30 90.00 90.00°
Sites, in units of the cell vectors:
Zn 0.5000 0.1172 0.2344
Zn 0.5000 0.8828 0.7656
Zn 0.0000 0.3107 0.6215
Zn 0.5000 0.5000 0.0000
Zn 0.0000 0.6893 0.3785
H 0.0000 0.0000 0.0000

Entry 19:
DFT (PBE) results for a relaxed ZnH4 crystal.

Calculated values
Fermi-level density of states	0.14	states/eV/atom
final energy	-10.678	eV/cell

Cell: 3.4129 3.4129 3.4129 Å, 90.00 90.00 90.00°
Sites, in units of the cell vectors:
H 0.0000 0.5000 0.5000
H 0.5000 0.0000 0.5000
H 0.0000 0.0000 0.0000
H 0.5000 0.5000 0.0000
Zn 0.5000 0.5000 0.5000

Entry 20:
DFT (PBE) results for a relaxed ZnH3 crystal.

Calculated values
Fermi-level density of states	0.12	states/eV/atom
distance to the lowest polymorph of the same formula	0	meV per atom

Cell: 2.2552 2.6757 6.6537 Å, 90.00 90.00 90.00°
Sites, in units of the cell vectors:
H 0.0000 0.5000 0.3669
H 0.5000 0.0000 0.7047
H 0.5000 0.5000 0.3671
Zn 0.0000 0.0000 0.8947

Calculated volume (A^3/atom)
20.02 18.49 13.87 18.31 11.87 8.21 21.00 29.22 21.73 8.71 13.58 18.69 8.26 29.18 9.98 9.82 10.38 13.73 7.95 10.04